This record from Alexandria via LeMat-Bulk describes a geometry-optimized NpNi2Ag3S6 structure. The functional is PBE.

## Properties
E_form (uncorrected): -0.398 eV per atom
total energy: -5.216 eV per atom
volume: 211.0 Å³ per cell
symmetry: C2/m (12)
D(E_F): 10.078 states/eV per cell

Cell: 6.1011 6.1011 6.7287 Å, 97.33 97.33 119.42°
Closest atoms and distances in Å follow each position.
Fractional coordinates of all 12 atoms:
Np1 0.0000 0.0000 0.0000  6 S 2.64-2.66
Ni1 0.3322 0.6678 0.0000  6 S 2.35-2.44
Ni2 0.6678 0.3322 0.0000  6 S 2.35-2.44
Ag1 0.1422 0.8578 0.5000  6 S 2.72-2.83, 1 Ag 3.00
Ag2 0.5000 0.5000 0.5000  2 S 2.52
Ag3 0.8578 0.1422 0.5000  6 S 2.72-2.83, 1 Ag 3.00
S1 0.0504 0.4215 0.2152  2 Ni 2.35-2.44
S2 0.3160 0.3160 0.7943  2 Ni 2.35, 1 Ag 2.52
S3 0.4215 0.0504 0.2152  2 Ni 2.35-2.44
S4 0.5785 0.9496 0.7848  2 Ni 2.35-2.44
S5 0.6840 0.6840 0.2057  2 Ni 2.35, 1 Ag 2.52
S6 0.9496 0.5785 0.7848  2 Ni 2.35-2.44



This record from Alexandria via LeMat-Bulk describes a geometry-optimized Np3NiAg3S8 structure. The functional is PBE.

## Properties
E_form (uncorrected): -0.704 eV per atom
total energy: -6.449 eV per atom
volume: 324.5 Å³ per cell
symmetry: R-3m (166)
D(E_F): 31.245 states/eV per cell

Cell: 7.6324 7.6324 7.6324 Å, 61.43 61.43 61.43°
Closest atoms and distances in Å follow each position.
Fractional coordinates of all 15 atoms:
Np1 0.0000 0.5000 0.5000  6 S 2.70
Np2 0.5000 0.0000 0.5000  6 S 2.70
Np3 0.5000 0.5000 0.0000  6 S 2.70
Ni1 0.0000 0.0000 0.0000  6 S 2.54
Ag1 0.0000 0.0000 0.5000  6 S 2.76-2.77
Ag2 0.0000 0.5000 0.0000  6 S 2.76-2.77
Ag3 0.5000 0.0000 0.0000  6 S 2.76-2.77
S1 0.2329 0.2329 0.7596  1 Ni 2.54, 2 Np 2.70, 2 Ag 2.77
S2 0.2329 0.7596 0.2329  1 Ni 2.54, 2 Np 2.70, 2 Ag 2.77
S3 0.2404 0.7671 0.7671  1 Ni 2.54, 2 Np 2.70, 2 Ag 2.77
S4 0.2532 0.2532 0.2532  3 Np 2.70, 3 Ag 2.76
S5 0.7468 0.7468 0.7468  3 Np 2.70, 3 Ag 2.76
S6 0.7596 0.2329 0.2329  1 Ni 2.54, 2 Np 2.70, 2 Ag 2.77
S7 0.7671 0.2404 0.7671  1 Ni 2.54, 2 Np 2.70, 2 Ag 2.77
S8 0.7671 0.7671 0.2404  1 Ni 2.54, 2 Np 2.70, 2 Ag 2.77



This record from Alexandria via LeMat-Bulk describes a geometry-optimized Np2NiAg3S6 structure. The functional is PBE.

## Properties
E_form (uncorrected): -0.608 eV per atom
total energy: -6.023 eV per atom
volume: 245.6 Å³ per cell
symmetry: C2/m (12)
D(E_F): 19.271 states/eV per cell

Cell: 6.7138 6.7138 6.4819 Å, 95.25 95.25 121.17°
Closest atoms and distances in Å follow each position.
Fractional coordinates of all 12 atoms:
Np1 0.1635 0.8365 0.0000  6 S 2.67-2.73
Np2 0.8365 0.1635 0.0000  6 S 2.67-2.73
Ni1 0.5000 0.5000 0.0000  6 S 2.51-2.52
Ag1 0.0000 0.0000 0.5000  2 S 2.55
Ag2 0.2656 0.7344 0.5000  4 S 2.57-2.76
Ag3 0.7344 0.2656 0.5000  4 S 2.57-2.76
S1 0.1503 0.4620 0.7784  1 Ni 2.52, 2 Ag 2.57-2.76, 2 Np 2.69-2.73
S2 0.2250 0.2250 0.2202  1 Ni 2.51, 1 Ag 2.55, 2 Np 2.67
S3 0.4620 0.1503 0.7784  1 Ni 2.52, 2 Ag 2.57-2.76, 2 Np 2.69-2.73
S4 0.5380 0.8497 0.2216  1 Ni 2.52, 2 Ag 2.57-2.76, 2 Np 2.69-2.73
S5 0.7750 0.7750 0.7798  1 Ni 2.51, 1 Ag 2.55, 2 Np 2.67
S6 0.8497 0.5380 0.2216  1 Ni 2.52, 2 Ag 2.57-2.76, 2 Np 2.69-2.73



This record from Alexandria via LeMat-Bulk describes a geometry-optimized NpNiAgS3 structure. The functional is PBE.

## Properties
E_form (uncorrected): -0.696 eV per atom
total energy: -6.355 eV per atom
volume: 240.9 Å³ per cell
symmetry: P2_1/m (11)
D(E_F): 18.845 states/eV per cell

Cell: 7.1434 3.8871 8.8084 Å, 90.00 99.92 90.00°
Closest atoms and distances in Å follow each position.
Fractional coordinates of all 12 atoms:
Np1 0.1781 0.2500 0.1734  6 S 2.61-2.77
Np2 0.8219 0.7500 0.8266  6 S 2.61-2.77
Ni1 0.4077 0.7500 0.4275  4 S 2.26-2.35
Ni2 0.5923 0.2500 0.5725  4 S 2.26-2.35
Ag1 0.2951 0.7500 0.7282  6 S 2.77-2.95, 1 Ni 2.90
Ag2 0.7049 0.2500 0.2718  6 S 2.77-2.95, 1 Ni 2.90
S1 0.0912 0.2500 0.8544  3 Np 2.72-2.77, 2 Ag 2.77
S2 0.2644 0.2500 0.4733  3 Ni 2.26-2.35
S3 0.4214 0.7500 0.1663  1 Ni 2.32
S4 0.5786 0.2500 0.8337  1 Ni 2.32
S5 0.7356 0.7500 0.5267  3 Ni 2.26-2.35
S6 0.9088 0.7500 0.1456  3 Np 2.72-2.77, 2 Ag 2.77



This record from Alexandria via LeMat-Bulk describes a geometry-optimized NpNiAgSe3 structure. The functional is PBE.

## Properties
E_form (uncorrected): -0.554 eV per atom
total energy: -5.892 eV per atom
volume: 273.6 Å³ per cell
symmetry: P2_1/m (11)
D(E_F): 20.476 states/eV per cell

Cell: 8.1439 3.9130 8.7074 Å, 90.00 99.55 90.00°
Closest atoms and distances in Å follow each position.
Fractional coordinates of all 12 atoms:
Np1 0.2236 0.2500 0.1547  7 Se 2.83-3.04, 1 Ni 3.02
Np2 0.7764 0.7500 0.8453  7 Se 2.83-3.04, 1 Ni 3.02
Ni1 0.4292 0.7500 0.9247  4 Se 2.36-2.50, 2 Ni 2.52
Ni2 0.5708 0.2500 0.0753  4 Se 2.36-2.50, 2 Ni 2.52
Ag1 0.2101 0.2500 0.5712  4 Se 2.68-2.86
Ag2 0.7899 0.7500 0.4288  4 Se 2.68-2.86
Se1 0.1211 0.7500 0.3609  3 Ag 2.70-2.86, 2 Np 2.87
Se2 0.1391 0.7500 0.9208  1 Ni 2.36
Se3 0.4866 0.2500 0.7862  3 Ni 2.38-2.50
Se4 0.5134 0.7500 0.2138  3 Ni 2.38-2.50
Se5 0.8609 0.2500 0.0792  1 Ni 2.36
Se6 0.8789 0.2500 0.6391  3 Ag 2.70-2.86, 2 Np 2.87



Copy entry 2 word for word.
This record from Alexandria via LeMat-Bulk describes a geometry-optimized Np3NiAg3S8 structure. The functional is PBE.

## Properties
E_form (uncorrected): -0.704 eV per atom
total energy: -6.449 eV per atom
volume: 324.5 Å³ per cell
symmetry: R-3m (166)
D(E_F): 31.245 states/eV per cell

Cell: 7.6324 7.6324 7.6324 Å, 61.43 61.43 61.43°
Closest atoms and distances in Å follow each position.
Fractional coordinates of all 15 atoms:
Np1 0.0000 0.5000 0.5000  6 S 2.70
Np2 0.5000 0.0000 0.5000  6 S 2.70
Np3 0.5000 0.5000 0.0000  6 S 2.70
Ni1 0.0000 0.0000 0.0000  6 S 2.54
Ag1 0.0000 0.0000 0.5000  6 S 2.76-2.77
Ag2 0.0000 0.5000 0.0000  6 S 2.76-2.77
Ag3 0.5000 0.0000 0.0000  6 S 2.76-2.77
S1 0.2329 0.2329 0.7596  1 Ni 2.54, 2 Np 2.70, 2 Ag 2.77
S2 0.2329 0.7596 0.2329  1 Ni 2.54, 2 Np 2.70, 2 Ag 2.77
S3 0.2404 0.7671 0.7671  1 Ni 2.54, 2 Np 2.70, 2 Ag 2.77
S4 0.2532 0.2532 0.2532  3 Np 2.70, 3 Ag 2.76
S5 0.7468 0.7468 0.7468  3 Np 2.70, 3 Ag 2.76
S6 0.7596 0.2329 0.2329  1 Ni 2.54, 2 Np 2.70, 2 Ag 2.77
S7 0.7671 0.2404 0.7671  1 Ni 2.54, 2 Np 2.70, 2 Ag 2.77
S8 0.7671 0.7671 0.2404  1 Ni 2.54, 2 Np 2.70, 2 Ag 2.77